A plane-wave DFT calculation with PBE was carried out for TbEr6Tm12 after structural relaxation.

Cell and atoms, written as POSCAR:
```
TbEr6Tm12
1.0
-0.819 7.962 -2.528
-5.241 1.762 6.315
6.322 2.508 4.920
Tb Er Tm
1 6 12
direct
0.000 0.000 0.000 Tb
0.745 0.910 0.314 Er
0.686 0.255 0.090 Er
0.090 0.686 0.255 Er
0.255 0.090 0.686 Er
0.314 0.745 0.910 Er
0.910 0.314 0.745 Er
0.772 0.545 0.436 Tm
0.436 0.772 0.545 Tm
0.545 0.436 0.772 Tm
0.228 0.455 0.564 Tm
0.564 0.228 0.455 Tm
0.455 0.564 0.228 Tm
0.008 0.214 0.354 Tm
0.786 0.646 0.992 Tm
0.646 0.992 0.786 Tm
0.992 0.786 0.646 Tm
0.214 0.354 0.008 Tm
0.354 0.008 0.214 Tm
```

## Properties
energy relative to the elements	3.82	kcal/mol of atoms
SG	R-3